No. 1
An optimized crystal structure of FeHgRh2, computed with PBEsol.

Output
Calculated volume ... 14.49 Å³/atom
Uncorrected energy ... -0.2301 hartree per atom
M_tot ... 2.389 μB per cell

Lattice parameters (Å, degrees): 2.7611 2.7611 7.6016 90.00 90.00 90.00
Space group P4mm (No. 99)
Symmetry-distinct sites (fractional):
Fe: 0.0000 0.0000 0.0000 [1 per cell]
Hg: 0.5000 0.5000 0.2680 [1 per cell]
Rh: 0.0000 0.0000 0.5452 [1 per cell]
Rh: 0.5000 0.5000 0.7813 [1 per cell]

***

No. 2
An optimized crystal structure of Zr2TeIr, computed with PBEsol.

Output
Raw formation energy ... -644 meV/atom
Calculated volume ... 20.26 Å³/atom
Uncorrected energy ... -0.3133 hartree per atom
M_tot ... 0.000 μB per cell

Lattice parameters (Å, degrees): 4.0588 3.7547 10.6333 90.00 90.00 90.00
Space group Amm2 (No. 38)
Symmetry-distinct sites (fractional):
Zr: 0.0000 0.0000 0.0000 [2 per cell]
Zr: 0.5000 0.0000 0.3057 [2 per cell]
Te: 0.5000 0.0000 0.5814 [2 per cell]
Ir: 0.0000 0.0000 0.7538 [2 per cell]

***

No. 3
An optimized crystal structure of CuSF2, computed with PBEsol.

Output
Raw formation energy ... -436 meV/atom
Calculated volume ... 11.86 Å³/atom
Uncorrected energy ... -0.1315 hartree per atom
M_tot ... 0.001 μB per cell
Excess energy over the best structure of this formula in the dataset ... 0.000 eV per formula unit

Lattice parameters (Å, degrees): 2.6812 2.6812 22.8607 90.00 90.00 120.00
Space group R-3m (No. 166, hexagonal axes)
Symmetry-distinct sites (fractional):
Cu: 0.0000 0.0000 0.0000 [3 per cell]
S: 0.0000 0.0000 0.5000 [3 per cell]
F: 0.0000 0.0000 0.0777 [6 per cell]